! Sr3Li5Cd, relaxed, DFT PBE-GGA; values from VASP
&SYSTEM
  ibrav = 0, nat = 9, ntyp = 3
/
ATOMIC_SPECIES
Li 6.94 Li.upf
Sr 87.62 Sr.upf
Cd 112.41 Cd.upf
CELL_PARAMETERS angstrom
-2.3724 -3.1964 3.0479
3.7484 -6.2678 -3.6555
3.4441 3.6094 6.4660
ATOMIC_POSITIONS crystal
Li 0.5000 0.7818 0.0000
Sr 0.0000 0.4140 0.0000
Li 0.5000 0.2182 0.2182
Sr 0.0000 0.0000 0.4140
Cd 0.0000 0.0000 0.0000
Li 0.5000 0.0000 0.7818
Sr 0.0000 0.5860 0.5860
Li 0.5000 0.3333 0.6667
Li 0.5000 0.6667 0.3333
! **Fermi-level density of states**: 5.25 states/eV/cell
! **Electronic total energy**: -1.762 eV/atom
! **Formation enthalpy at 0 K**: -0.33 eV/f.u.